one.
A PBEsol-optimized structure of HgSb3Ru. Source: Alexandria via LeMat-Bulk, functional SCAN.

The structure belongs to space group Pm-3m (No. 221); the cell edges are 5.332, 5.332 and 5.332 Å and the angles 90.00°, 90.00° and 90.00°. The asymmetric unit holds Hg at (0.000, 0.000, 0.000), Sb at (0.000, 0.000, 0.500) and Ru at (0.500, 0.500, 0.500).

The calculation puts the mass density at 7.3 Mg/m³.

two.
A PBEsol-optimized structure of HgSb3Ru. Source: Alexandria via LeMat-Bulk, functional SCAN.

The structure belongs to space group Pm-3m (No. 221); the cell edges are 5.089, 5.089 and 5.089 Å and the angles 90.00°, 90.00° and 90.00°. The asymmetric unit holds Hg at (0.000, 0.000, 0.000), Sb at (0.000, 0.500, 0.500) and Ru at (0.500, 0.500, 0.500).

The calculation puts the mass density at 8.4 Mg/m³.

Least stable structure: one

one.
A PBEsol-optimized structure of Li3AsAu. Source: Alexandria via LeMat-Bulk, functional SCAN.

The structure belongs to space group Pm-3m (No. 221); the cell edges are 4.655, 4.655 and 4.655 Å and the angles 90.00°, 90.00° and 90.00°. The asymmetric unit holds Li at (0.000, 0.000, 0.500), As at (0.000, 0.000, 0.000) and Au at (0.500, 0.500, 0.500).

The calculation puts the mass density at 4.8 Mg/m³.

two.
A PBEsol-optimized structure of Li3AsAu. Source: Alexandria via LeMat-Bulk, functional SCAN.

The structure belongs to space group Pm-3m (No. 221); the cell edges are 4.648, 4.648 and 4.648 Å and the angles 90.00°, 90.00° and 90.00°. The asymmetric unit holds Li at (0.000, 0.000, 0.500), As at (0.500, 0.500, 0.500) and Au at (0.000, 0.000, 0.000).

The calculation puts the mass density at 4.8 Mg/m³.

Least stable structure: two